Density functional theory data (GGA+U) for an optimized crystal structure of CoBi2SbO8.

a = 6.878 Å, b = 6.908 Å, c = 6.748 Å
α = 90.00°, β = 90.00°, γ = 90.00°
Space group Cmmm (No. 65)
Unique sites:
Co1 0.000 0.000 0.000 x2
Bi1 0.000 0.500 0.244 x4
Sb1 0.000 0.000 0.500 x2
O1 0.000 0.182 0.264 x8
O2 0.205 0.500 0.500 x4
O3 0.209 0.500 0.000 x4

Properties
DOS at the Fermi energy: 3.8 states/eV per cell
Raw total energy: -5.79 eV per atom